Density functional theory data (PBE-GGA) for a geometry-optimized PmDyZnBi structure.

Computed properties:
ΔH_f (0 K) in eV/atom: -0.421

Cell: 7.5582 7.5582 7.5582 Å, 90.00 90.00 90.00°
Last column: nearest neighbours and their distance in Å.
Sites, in units of the cell vectors:
Pm (0.0000, 0.0000, 0.0000)  4 Bi 3.27, 4 Zn 3.27
Pm (0.0000, 0.5000, 0.5000)  4 Bi 3.27, 4 Zn 3.27
Pm (0.5000, 0.0000, 0.5000)  4 Bi 3.27, 4 Zn 3.27
Pm (0.5000, 0.5000, 0.0000)  4 Bi 3.27, 4 Zn 3.27
Dy (0.0000, 0.0000, 0.5000)  4 Zn 3.27, 4 Bi 3.27
Dy (0.0000, 0.5000, 0.0000)  4 Zn 3.27, 4 Bi 3.27
Dy (0.5000, 0.0000, 0.0000)  4 Zn 3.27, 4 Bi 3.27
Dy (0.5000, 0.5000, 0.5000)  4 Zn 3.27, 4 Bi 3.27
Zn (0.2500, 0.2500, 0.2500)  4 Pm 3.27, 4 Dy 3.27
Zn (0.2500, 0.7500, 0.7500)  4 Dy 3.27, 4 Pm 3.27
Zn (0.7500, 0.2500, 0.7500)  4 Dy 3.27, 4 Pm 3.27
Zn (0.7500, 0.7500, 0.2500)  4 Pm 3.27, 4 Dy 3.27
Bi (0.2500, 0.2500, 0.7500)  4 Dy 3.27, 4 Pm 3.27
Bi (0.2500, 0.7500, 0.2500)  4 Dy 3.27, 4 Pm 3.27
Bi (0.7500, 0.2500, 0.2500)  4 Dy 3.27, 4 Pm 3.27
Bi (0.7500, 0.7500, 0.7500)  4 Dy 3.27, 4 Pm 3.27

***

Density functional theory data (PBE-GGA) for a geometry-optimized LaGa3Cu structure.

Computed properties:
ΔH_f (0 K) in eV/atom: -0.529
Distance to the lowest polymorph of the same formula in meV per atom: 28

Cell: 4.2860 4.2860 10.6024 Å, 90.00 90.00 90.00°
Last column: nearest neighbours and their distance in Å.
Sites, in units of the cell vectors:
La (0.0000, 0.0000, 0.0000)  12 Ga 3.28-3.41, 4 Cu 3.41
La (0.5000, 0.5000, 0.5000)  12 Ga 3.28-3.41, 4 Cu 3.41
Ga (0.0000, 0.0000, 0.3807)  3 Ga 2.53-2.55, 2 Cu 2.55
Ga (0.0000, 0.0000, 0.6193)  3 Ga 2.53-2.55, 2 Cu 2.55
Ga (0.0000, 0.5000, 0.2500)  4 Ga 2.55
Ga (0.5000, 0.0000, 0.7500)  4 Ga 2.55
Ga (0.5000, 0.5000, 0.1193)  3 Ga 2.53-2.55, 2 Cu 2.55
Ga (0.5000, 0.5000, 0.8807)  3 Ga 2.53-2.55, 2 Cu 2.55
Cu (0.0000, 0.5000, 0.7500)  4 Ga 2.55
Cu (0.5000, 0.0000, 0.2500)  4 Ga 2.55

***

Density functional theory data (PBE-GGA) for a geometry-optimized LaAg6Ge2 structure.

Computed properties:
ΔH_f (0 K) in eV/atom: -0.214

Cell: 4.3902 4.3902 9.3009 Å, 90.00 90.00 90.00°
Last column: nearest neighbours and their distance in Å.
Sites, in units of the cell vectors:
La (0.0000, 0.0000, 0.0000)  8 Ge 3.34, 8 Ag 3.50
Ag (0.0000, 0.0000, 0.5000)  12 Ag 2.92-3.10
Ag (0.0000, 0.5000, 0.2936)  2 Ge 2.66, 4 Ag 2.92
Ag (0.0000, 0.5000, 0.7064)  2 Ge 2.66, 4 Ag 2.92
Ag (0.5000, 0.0000, 0.2936)  2 Ge 2.66, 4 Ag 2.92
Ag (0.5000, 0.0000, 0.7064)  2 Ge 2.66, 4 Ag 2.92
Ag (0.5000, 0.5000, 0.5000)  12 Ag 2.92-3.10
Ge (0.5000, 0.5000, 0.1330)  1 Ge 2.47, 4 Ag 2.66
Ge (0.5000, 0.5000, 0.8670)  1 Ge 2.47, 4 Ag 2.66

***

Density functional theory data (PBE-GGA) for a geometry-optimized Er3BiTe2 structure.

Computed properties:
Formation energy from raw total energies in eV/atom: -1.0969

Cell: 4.3635 6.1649 13.0827 Å, 90.00 90.00 90.00°
Last column: nearest neighbours and their distance in Å.
Sites, in units of the cell vectors:
Er (0.0000, 0.0000, 0.0000)  4 Te 3.08, 2 Bi 3.08
Er (0.0000, 0.0000, 0.3328)  4 Te 3.08, 2 Bi 3.09
Er (0.0000, 0.0000, 0.6672)  4 Te 3.08, 2 Bi 3.09
Er (0.5000, 0.5000, 0.1672)  4 Te 3.08, 2 Bi 3.09
Er (0.5000, 0.5000, 0.5000)  4 Te 3.08, 2 Bi 3.08
Er (0.5000, 0.5000, 0.8328)  4 Te 3.08, 2 Bi 3.09
Bi (0.0000, 0.5000, 0.0000)  6 Er 3.08-3.09
Bi (0.5000, 0.0000, 0.5000)  6 Er 3.08-3.09
Te (0.0000, 0.5000, 0.3336)  6 Er 3.08
Te (0.0000, 0.5000, 0.6664)  6 Er 3.08
Te (0.5000, 0.0000, 0.1664)  6 Er 3.08
Te (0.5000, 0.0000, 0.8336)  6 Er 3.08

***

E for the records above, in order: -64.8; -41.5; -33.2; -60.9 eV per cell